(1)
A plane-wave DFT calculation with GGA-PBE was carried out for crystalline NbCu2O at its relaxed geometry.

* formation energy (no corrections): -0.23 eV/atom

```
data_NbCu2O
_cell_length_a 7.0161
_cell_length_b 7.0161
_cell_length_c 4.2324
_cell_angle_alpha 90.00
_cell_angle_beta 90.00
_cell_angle_gamma 90.00
_space_group_name_H-M_alt 'I -4 2 d'
_space_group_IT_number 122
_space_group_name_Hall 'I -4 2bw'
loop_
_atom_site_label
_atom_site_type_symbol
_atom_site_fract_x
_atom_site_fract_y
_atom_site_fract_z
Nb1 Nb 0.0000 0.0000 0.0000
Cu1 Cu 0.1843 0.2500 0.6250
O1 O 0.0000 0.0000 0.5000
```

=====

(2)
A plane-wave DFT calculation with GGA-PBE was carried out for crystalline LaTb2Tm3 at its relaxed geometry.

* formation energy: 0.026 eV per atom

```
data_LaTb2Tm3
_cell_length_a 3.5799
_cell_length_b 18.5401
_cell_length_c 11.5397
_cell_angle_alpha 90.00
_cell_angle_beta 90.00
_cell_angle_gamma 90.00
_space_group_name_H-M_alt 'C m c m'
_space_group_IT_number 63
_space_group_name_Hall '-C 2c 2'
loop_
_atom_site_label
_atom_site_type_symbol
_atom_site_fract_x
_atom_site_fract_y
_atom_site_fract_z
La1 La 0.0000 0.2216 0.2500
Tb1 Tb 0.0000 0.0000 0.0000
Tb2 Tb 0.0000 0.4456 0.7500
Tm1 Tm 0.0000 0.1084 0.7500
Tm2 Tm 0.0000 0.3345 0.0055
```

=====

(3)
A plane-wave DFT calculation with GGA-PBE was carried out for crystalline Ag3PtAu6 at its relaxed geometry.

* formation energy: 0.106 eV per atom

```
data_Ag3PtAu6
_cell_length_a 7.0160
_cell_length_b 7.1088
_cell_length_c 9.3855
_cell_angle_alpha 90.00
_cell_angle_beta 125.56
_cell_angle_gamma 90.00
_space_group_name_H-M_alt 'P 1 21/c 1'
_space_group_IT_number 14
loop_
_space_group_symop_operation_xyz
'x,y,z'
'-x,-y,-z'
'-x,y+1/2,-z+1/2'
'x,-y+1/2,z+1/2'
loop_
_atom_site_label
_atom_site_type_symbol
_atom_site_fract_x
_atom_site_fract_y
_atom_site_fract_z
Ag1 Ag 0.0000 0.0000 0.0000
Ag2 Ag 0.2416 0.1753 0.4421
Pt1 Pt 0.5000 0.0000 0.0000
Au1 Au 0.1243 0.0806 0.6678
Au2 Au 0.2451 0.6909 0.8212
Au3 Au 0.4863 0.1323 0.2843
```

=====

(4)
A plane-wave DFT calculation with GGA-PBE was carried out for crystalline Mo2PRu at its relaxed geometry.

* formation energy: 0.031 eV per atom

```
data_Mo2PRu
_cell_length_a 4.9474
_cell_length_b 8.1284
_cell_length_c 2.8808
_cell_angle_alpha 90.00
_cell_angle_beta 90.00
_cell_angle_gamma 90.00
_space_group_name_H-M_alt 'C m m m'
_space_group_IT_number 65
_space_group_name_Hall '-C 2 2'
loop_
_atom_site_label
_atom_site_type_symbol
_atom_site_fract_x
_atom_site_fract_y
_atom_site_fract_z
Mo1 Mo 0.2500 0.2500 0.0000
P1 P 0.0000 0.0000 0.5000
Ru1 Ru 0.0000 0.5000 0.5000
```

=====

(5)
A plane-wave DFT calculation with GGA-PBE was carried out for crystalline Zr2H2Ru at its relaxed geometry.

* DFT total energy: -0.51089 Ry per atom

```
data_Zr2H2Ru
_cell_length_a 6.1584
_cell_length_b 8.8390
_cell_length_c 9.5093
_cell_angle_alpha 90.00
_cell_angle_beta 90.00
_cell_angle_gamma 90.00
_space_group_name_H-M_alt 'F d d d'
_space_group_IT_number 70
loop_
_space_group_symop_operation_xyz
'x,y,z'
'-x,-y,-z'
'-x+1/4,-y+1/4,z'
'x+1/4,y+1/4,-z'
'x,-y+1/4,-z+1/4'
'-x,y+1/4,z+1/4'
'-x+1/4,y,-z+1/4'
'x+1/4,-y,z+1/4'
'x,y+1/2,z+1/2'
'-x,-y+1/2,-z+1/2'
'-x+1/4,-y+3/4,z+1/2'
'x+1/4,y+3/4,-z+1/2'
'x,-y+3/4,-z+3/4'
'-x,y+3/4,z+3/4'
'-x+1/4,y+1/2,-z+3/4'
'x+1/4,-y+1/2,z+3/4'
'x+1/2,y,z+1/2'
'-x+1/2,-y,-z+1/2'
'-x+3/4,-y+1/4,z+1/2'
'x+3/4,y+1/4,-z+1/2'
'x+1/2,-y+1/4,-z+3/4'
'-x+1/2,y+1/4,z+3/4'
'-x+3/4,y,-z+3/4'
'x+3/4,-y,z+3/4'
'x+1/2,y+1/2,z'
'-x+1/2,-y+1/2,-z'
'-x+3/4,-y+3/4,z'
'x+3/4,y+3/4,-z'
'x+1/2,-y+3/4,-z+1/4'
'-x+1/2,y+3/4,z+1/4'
'-x+3/4,y+1/2,-z+1/4'
'x+3/4,-y+1/2,z+1/4'
loop_
_atom_site_label
_atom_site_type_symbol
_atom_site_fract_x
_atom_site_fract_y
_atom_site_fract_z
Zr1 Zr 0.1250 0.3287 0.1250
H1 H 0.1250 0.1250 0.0124
Ru1 Ru 0.1250 0.1250 0.6250
```

=====

(6)
A plane-wave DFT calculation with GGA-PBE was carried out for crystalline Li6Ca12Zn at its relaxed geometry.

* formation energy: 0.053 eV per atom

```
data_Li6Ca12Zn
_cell_length_a 11.9886
_cell_length_b 11.9886
_cell_length_c 15.4857
_cell_angle_alpha 90.00
_cell_angle_beta 90.00
_cell_angle_gamma 120.00
_space_group_name_H-M_alt 'R -3'
_space_group_IT_number 148
_space_group_name_Hall '-R 3'
loop_
_atom_site_label
_atom_site_type_symbol
_atom_site_fract_x
_atom_site_fract_y
_atom_site_fract_z
Li1 Li 0.0482 0.6055 0.2016
Ca1 Ca 0.0240 0.8397 0.3295
Ca2 Ca 0.0515 0.2069 0.9062
Zn1 Zn 0.0000 0.0000 0.5000
```